A plane-wave DFT calculation with PBE was carried out for a geometry-optimized TlSb structure.

abc: 12.3665 9.2286 6.6979
angles: 90.00 90.00 90.00
With the nearest neighbours (Å) after each atom.
Space group Pbcm (No. 57)
One atom of each set of equivalent atoms:
Tl  0.1313  0.2500  0.0000 (multiplicity 4)  4 Sb 3.29-3.39, 4 Tl 3.35-3.49
Tl  0.1729  0.6544  0.2500 (multiplicity 4)  3 Sb 3.19-3.46
Tl  0.3241  0.0417  0.2500 (multiplicity 4)  9 Sb 3.49-3.77, 2 Tl 3.49
Sb  0.0381  0.5439  0.7500 (multiplicity 4)  6 Tl 3.19-3.39
Sb  0.4009  0.0625  0.7500 (multiplicity 4)  2 Sb 3.02
Sb  0.4520  0.7500  0.0000 (multiplicity 4)  4 Sb 3.02-3.35

---

A plane-wave DFT calculation with PBE was carried out for a geometry-optimized TlSb3 structure.

abc: 3.2572 5.6418 6.5006
angles: 90.00 90.00 90.00
With the nearest neighbours (Å) after each atom.
Space group Pmmm (No. 47)
One atom of each set of equivalent atoms:
Tl  0.0000  0.0000  0.0000 (multiplicity 1)  2 Tl 3.26, 4 Sb 3.64
Sb  0.5000  0.0000  0.5000 (multiplicity 1)  6 Sb 3.20-3.26
Sb  0.5000  0.5000  0.2676 (multiplicity 2)  5 Sb 3.02-3.26

---

Number 1: density 8.50 g/cm³, raw formation energy 0.067 eV/atom. Number 2: density 7.92 g/cm³, raw formation energy 0.061 eV/atom.